a:
VASP calculation (GGA-PBE) on a relaxed Ti3PH crystal.

Lattice parameters (Å, degrees): 3.9388 3.9388 3.9388 90.00 90.00 90.00
Closest atoms and distances in Å follow each position.
Atoms (fractional coordinates):
Ti 0.0000 0.0000 0.5000  2 H 1.97
Ti 0.0000 0.5000 0.0000  2 H 1.97
Ti 0.5000 0.0000 0.0000  2 H 1.97
P 0.5000 0.5000 0.5000  12 Ti 2.79
H 0.0000 0.0000 0.0000  6 Ti 1.97

Values from the calculation:
Density of states at the Fermi level in states/eV/cell: 4.29
Space group: Pm-3m (221)
Volume in Å³ per cell: 61

b:
VASP calculation (GGA-PBE) on a relaxed Ti3PH crystal.

Lattice parameters (Å, degrees): 3.1957 6.1848 7.0019 91.61 102.89 104.92
Closest atoms and distances in Å follow each position.
Atoms (fractional coordinates):
Ti 0.0546 0.4317 0.1823  2 H 2.08-2.11
Ti 0.1626 0.2666 0.5365  2 H 2.06-2.12
Ti 0.3628 0.0210 0.2066  1 H 2.02
Ti 0.6372 0.9790 0.7934  1 H 2.02
Ti 0.8374 0.7334 0.4635  2 H 2.06-2.12
Ti 0.9454 0.5683 0.8177  2 H 2.08-2.11
P 0.3419 0.2691 0.9145  8 Ti 2.44-2.59
P 0.6580 0.7309 0.0855  8 Ti 2.44-2.59
H 0.4078 0.6696 0.6485  5 Ti 2.02-2.12
H 0.5922 0.3304 0.3515  5 Ti 2.02-2.12

Values from the calculation:
Density of states at the Fermi level in states/eV/cell: 8.16
Space group: P-1 (2)
Volume in Å³ per cell: 130

Short version: b is the most stable of them.

a:
VASP calculation (GGA-PBE) on a relaxed TiPH crystal.

Lattice parameters (Å, degrees): 4.7025 4.7025 6.0334 129.63 129.63 41.66
Closest atoms and distances in Å follow each position.
Atoms (fractional coordinates):
Ti 0.0664 0.0664 0.3387  3 H 1.89-1.96
Ti 0.9336 0.9336 0.6613  3 H 1.89-1.96
P 0.2958 0.2958 0.2151  3 H 2.38-2.65, 6 Ti 2.57-2.66
P 0.7042 0.7042 0.7849  3 H 2.38-2.65, 6 Ti 2.57-2.66
H 0.3611 0.3611 0.7140  3 Ti 1.89-1.96
H 0.6389 0.6389 0.2860  3 Ti 1.89-1.96

Values from the calculation:
Density of states at the Fermi level in states/eV/cell: 1.75
Space group: C2/m (12)
Volume in Å³ per cell: 65

b:
VASP calculation (GGA-PBE) on a relaxed TiPH crystal.

Lattice parameters (Å, degrees): 3.3419 3.3419 3.3027 90.00 90.00 120.00
Closest atoms and distances in Å follow each position.
Atoms (fractional coordinates):
Ti 0.0000 0.0000 0.0000  3 H 1.93
P 0.3333 0.6667 0.5000  6 Ti 2.54, 6 H 2.54
H 0.6667 0.3333 0.0000  3 Ti 1.93

Values from the calculation:
Density of states at the Fermi level in states/eV/cell: 0.26
Space group: P-6m2 (187)
Volume in Å³ per cell: 32

c:
VASP calculation (GGA-PBE) on a relaxed TiPH crystal.

Lattice parameters (Å, degrees): 4.6603 4.6603 5.1769 108.92 108.92 40.87
Closest atoms and distances in Å follow each position.
Atoms (fractional coordinates):
Ti 0.1790 0.1790 0.2148  3 H 1.92-1.97
Ti 0.8210 0.8210 0.7852  3 H 1.92-1.97
P 0.4544 0.4544 0.1864  1 P 2.33, 5 Ti 2.46-2.58
P 0.5456 0.5456 0.8136  1 P 2.33, 5 Ti 2.46-2.58
H 0.2079 0.2079 0.5991  3 Ti 1.92-1.97
H 0.7921 0.7921 0.4009  3 Ti 1.92-1.97

Values from the calculation:
Density of states at the Fermi level in states/eV/cell: 1.77
Space group: C2/m (12)
Volume in Å³ per cell: 69

d:
VASP calculation (GGA-PBE) on a relaxed TiPH crystal.

Lattice parameters (Å, degrees): 3.4317 3.4317 7.2697 91.21 91.21 59.42
Closest atoms and distances in Å follow each position.
Atoms (fractional coordinates):
Ti 0.1622 0.1622 0.3498  1 H 1.81
Ti 0.8378 0.8378 0.6502  1 H 1.81
P 0.4928 0.4928 0.1526  1 H 1.61
P 0.5072 0.5072 0.8474  1 H 1.61
H 0.2269 0.2269 0.1085  1 P 1.61
H 0.7731 0.7731 0.8915  1 P 1.61

Values from the calculation:
Density of states at the Fermi level in states/eV/cell: 1.39
Space group: C2/m (12)
Volume in Å³ per cell: 74

Short version: b is the most stable of them.

a:
VASP calculation (GGA-PBE) on a relaxed TiPH crystal.

Lattice parameters (Å, degrees): 3.2100 3.2100 6.0231 90.00 90.00 90.00
Closest atoms and distances in Å follow each position.
Atoms (fractional coordinates):
Ti 0.2500 0.2500 0.1955  4 H 1.99
Ti 0.7500 0.7500 0.8045  4 H 1.99
P 0.2500 0.2500 0.6184  5 Ti 2.53-2.55, 4 P 2.68, 4 H 2.80
P 0.7500 0.7500 0.3816  5 Ti 2.53-2.55, 4 P 2.68, 4 H 2.80
H 0.2500 0.7500 0.0000  4 Ti 1.99
H 0.7500 0.2500 0.0000  4 Ti 1.99

Values from the calculation:
Density of states at the Fermi level in states/eV/cell: 1.27
Space group: P4/nmm (129)
Volume in Å³ per cell: 62

b:
VASP calculation (GGA-PBE) on a relaxed TiPH crystal.

Lattice parameters (Å, degrees): 3.3776 4.6877 4.7152 75.70 70.44 69.14
Closest atoms and distances in Å follow each position.
Atoms (fractional coordinates):
Ti 0.0000 0.0000 0.0000  3 H 1.91-1.98
Ti 0.4873 0.4982 0.5165  2 H 1.91-1.96
P 0.2594 0.0870 0.4157  1 H 1.56
P 0.7375 0.5848 0.9340  3 H 2.35-2.44, 6 Ti 2.53-2.60
H 0.4310 0.2115 0.8977  1 H 1.49
H 0.8005 0.0809 0.6405  1 H 1.49, 1 P 1.56

Values from the calculation:
Density of states at the Fermi level in states/eV/cell: 1.19
Space group: P1 (1)
Volume in Å³ per cell: 65

c:
VASP calculation (GGA-PBE) on a relaxed TiPH crystal.

Lattice parameters (Å, degrees): 3.3904 3.3522 5.7609 90.00 90.83 90.00
Closest atoms and distances in Å follow each position.
Atoms (fractional coordinates):
Ti 0.0000 0.0000 0.0000  1 H 1.91
Ti 0.4858 0.0000 0.5143  4 H 1.90-1.92
P 0.4981 0.5000 0.8592  1 H 2.10
P 0.9328 0.5000 0.3149  1 H 1.57
H 0.2236 0.5000 0.5294  1 P 1.57
H 0.9913 0.0000 0.6692  3 Ti 1.91-1.92, 2 H 2.02

Values from the calculation:
Density of states at the Fermi level in states/eV/cell: 0.71
Space group: Pm (6)
Volume in Å³ per cell: 65

Short version: a is the most stable of them.

a:
VASP calculation (GGA-PBE) on a relaxed Ti3P2H crystal.

Lattice parameters (Å, degrees): 5.8917 5.8917 6.9347 107.12 107.12 48.60
Closest atoms and distances in Å follow each position.
Atoms (fractional coordinates):
Ti 0.0505 0.9495 0.7500  1 H 1.97
Ti 0.3256 0.3276 0.9132  4 P 2.39-2.43, 2 H 2.48
Ti 0.3276 0.3256 0.4132  4 P 2.39-2.43, 2 H 2.48
Ti 0.6724 0.6744 0.5868  4 P 2.39-2.43, 2 H 2.48
Ti 0.6744 0.6724 0.0868  4 P 2.39-2.43, 2 H 2.48
Ti 0.9495 0.0505 0.2500  1 H 1.97
P 0.1644 0.1653 0.0823  6 Ti 2.39-2.43
P 0.1653 0.1644 0.5823  6 Ti 2.39-2.43
P 0.8347 0.8356 0.4177  6 Ti 2.39-2.43
P 0.8356 0.8347 0.9177  6 Ti 2.39-2.43
H 0.4570 0.5430 0.7500  1 Ti 1.97
H 0.5430 0.4570 0.2500  1 Ti 1.97

Values from the calculation:
Density of states at the Fermi level in states/eV/cell: 9.06
Space group: C2/c (15)
Volume in Å³ per cell: 171

b:
VASP calculation (GGA-PBE) on a relaxed Ti3P2H crystal.

Lattice parameters (Å, degrees): 6.7135 3.4651 13.4048 90.00 90.00 90.00
Closest atoms and distances in Å follow each position.
Atoms (fractional coordinates):
Ti 0.0040 0.2500 0.1010  2 H 1.96
Ti 0.1264 0.7500 0.4260  1 H 1.90
Ti 0.1829 0.2500 0.7283  1 H 1.91
Ti 0.3171 0.7500 0.2283  1 H 1.91
Ti 0.3736 0.2500 0.9260  1 H 1.90
Ti 0.4960 0.7500 0.6010  2 H 1.96
Ti 0.5040 0.2500 0.3990  2 H 1.96
Ti 0.6264 0.7500 0.0740  1 H 1.90
Ti 0.6829 0.2500 0.7717  1 H 1.91
Ti 0.8171 0.7500 0.2717  1 H 1.91
Ti 0.8736 0.2500 0.5740  1 H 1.90
Ti 0.9960 0.7500 0.8990  2 H 1.96
P 0.0810 0.2500 0.2872  7 Ti 2.48-2.56
P 0.2454 0.2500 0.5443  7 Ti 2.48-2.61, 1 H 2.76
P 0.2546 0.7500 0.0443  7 Ti 2.48-2.61, 1 H 2.76
P 0.4190 0.7500 0.7872  7 Ti 2.48-2.56
P 0.5810 0.2500 0.2128  7 Ti 2.48-2.56
P 0.7454 0.2500 0.9557  7 Ti 2.48-2.61, 1 H 2.76
P 0.7546 0.7500 0.4557  7 Ti 2.48-2.61, 1 H 2.76
P 0.9190 0.7500 0.7128  7 Ti 2.48-2.56
H 0.1165 0.2500 0.8667  4 Ti 1.90-1.96
H 0.3835 0.7500 0.3667  4 Ti 1.90-1.96
H 0.6165 0.2500 0.6333  4 Ti 1.90-1.96
H 0.8835 0.7500 0.1333  4 Ti 1.90-1.96

Values from the calculation:
Density of states at the Fermi level in states/eV/cell: 15.96
Space group: Pnma (62)
Volume in Å³ per cell: 312

Short version: b is the most stable of them.